Version P
# RbSnS4

A relaxed RbSnS4 crystal (PBE, Alexandria via LeMat-Bulk).

a = 10.1162 Å, b = 20.1443 Å, c = 14.1861 Å
α = 90.00°, β = 90.00°, γ = 90.00°
Positions (direct):
Rb (0.1398, 0.1887, 0.0243)
Rb (0.1398, 0.8113, 0.5243)
Rb (0.2276, 0.4289, 0.9604)
Rb (0.2276, 0.5711, 0.4604)
Rb (0.2724, 0.0711, 0.4604)
Rb (0.2724, 0.9289, 0.9604)
Rb (0.3602, 0.3113, 0.5243)
Rb (0.3602, 0.6887, 0.0243)
Rb (0.6398, 0.3113, 0.9757)
Rb (0.6398, 0.6887, 0.4757)
Rb (0.7276, 0.0711, 0.0396)
Rb (0.7276, 0.9289, 0.5396)
Rb (0.7724, 0.4289, 0.5396)
Rb (0.7724, 0.5711, 0.0396)
Rb (0.8602, 0.1887, 0.4757)
Rb (0.8602, 0.8113, 0.9757)
Sn (0.0000, 0.0832, 0.7500)
Sn (0.0000, 0.2701, 0.7500)
Sn (0.0000, 0.7299, 0.2500)
Sn (0.0000, 0.9168, 0.2500)
Sn (0.1752, 0.3259, 0.2681)
Sn (0.1752, 0.6741, 0.7681)
Sn (0.3248, 0.1741, 0.7681)
Sn (0.3248, 0.8259, 0.2681)
Sn (0.5000, 0.2299, 0.2500)
Sn (0.5000, 0.4168, 0.2500)
Sn (0.5000, 0.5832, 0.7500)
Sn (0.5000, 0.7701, 0.7500)
Sn (0.6752, 0.1741, 0.7319)
Sn (0.6752, 0.8259, 0.2319)
Sn (0.8248, 0.3259, 0.2319)
Sn (0.8248, 0.6741, 0.7319)
S (0.0361, 0.3299, 0.1284)
S (0.0361, 0.6701, 0.6284)
S (0.0631, 0.3597, 0.6220)
S (0.0631, 0.6403, 0.1220)
S (0.0645, 0.0078, 0.1238)
S (0.0645, 0.9922, 0.6238)
S (0.1021, 0.1763, 0.6458)
S (0.1021, 0.8237, 0.1458)
S (0.1413, 0.4370, 0.6974)
S (0.1413, 0.5630, 0.1974)
S (0.1546, 0.0787, 0.2048)
S (0.1546, 0.9213, 0.7048)
S (0.2226, 0.0769, 0.8387)
S (0.2226, 0.9231, 0.3387)
S (0.2319, 0.2771, 0.8309)
S (0.2319, 0.7229, 0.3309)
S (0.2681, 0.2229, 0.3309)
S (0.2681, 0.7771, 0.8309)
S (0.2774, 0.4231, 0.3387)
S (0.2774, 0.5769, 0.8387)
S (0.3454, 0.4213, 0.7048)
S (0.3454, 0.5787, 0.2048)
S (0.3587, 0.0630, 0.1974)
S (0.3587, 0.9370, 0.6974)
S (0.3979, 0.3237, 0.1458)
S (0.3979, 0.6763, 0.6458)
S (0.4355, 0.4922, 0.6238)
S (0.4355, 0.5078, 0.1238)
S (0.4369, 0.1403, 0.1220)
S (0.4369, 0.8597, 0.6220)
S (0.4639, 0.1701, 0.6284)
S (0.4639, 0.8299, 0.1284)
S (0.5361, 0.1701, 0.8716)
S (0.5361, 0.8299, 0.3716)
S (0.5631, 0.1403, 0.3780)
S (0.5631, 0.8597, 0.8780)
S (0.5645, 0.4922, 0.8762)
S (0.5645, 0.5078, 0.3762)
S (0.6021, 0.3237, 0.3542)
S (0.6021, 0.6763, 0.8542)
S (0.6413, 0.0630, 0.3026)
S (0.6413, 0.9370, 0.8026)
S (0.6546, 0.4213, 0.7952)
S (0.6546, 0.5787, 0.2952)
S (0.7226, 0.4231, 0.1613)
S (0.7226, 0.5769, 0.6613)
S (0.7319, 0.2229, 0.1691)
S (0.7319, 0.7771, 0.6691)
S (0.7681, 0.2771, 0.6691)
S (0.7681, 0.7229, 0.1691)
S (0.7774, 0.0769, 0.6613)
S (0.7774, 0.9231, 0.1613)
S (0.8454, 0.0787, 0.2952)
S (0.8454, 0.9213, 0.7952)
S (0.8587, 0.4370, 0.8026)
S (0.8587, 0.5630, 0.3026)
S (0.8979, 0.1763, 0.8542)
S (0.8979, 0.8237, 0.3542)
S (0.9355, 0.0078, 0.3762)
S (0.9355, 0.9922, 0.8762)
S (0.9369, 0.3597, 0.8780)
S (0.9369, 0.6403, 0.3780)
S (0.9639, 0.3299, 0.3716)
S (0.9639, 0.6701, 0.8716)


Version Q
# RbSnS4

A relaxed RbSnS4 crystal (PBE, Alexandria via LeMat-Bulk).

a = 8.3936 Å, b = 8.3936 Å, c = 6.5812 Å
α = 93.16°, β = 93.16°, γ = 123.46°
Positions (direct):
Rb (0.1205, 0.8795, 0.7500)
Rb (0.8795, 0.1205, 0.2500)
Sn (0.4601, 0.5399, 0.2500)
Sn (0.5399, 0.4601, 0.7500)
S (0.1873, 0.6254, 0.3401)
S (0.2466, 0.3577, 0.9300)
S (0.3577, 0.2466, 0.4300)
S (0.3746, 0.8127, 0.1599)
S (0.6254, 0.1873, 0.8401)
S (0.6423, 0.7534, 0.5700)
S (0.7534, 0.6423, 0.0700)
S (0.8127, 0.3746, 0.6599)


Of them, the most stable is version P and the least stable is version Q.


Version P
# Rb3SrS

A relaxed Rb3SrS crystal (PBE, Alexandria via LeMat-Bulk).

a = 6.6415 Å, b = 6.6415 Å, c = 6.6415 Å
α = 90.00°, β = 90.00°, γ = 90.00°
Positions (direct):
Rb (0.0000, 0.0000, 0.5000)
Rb (0.0000, 0.5000, 0.0000)
Rb (0.5000, 0.0000, 0.0000)
Sr (0.5000, 0.5000, 0.5000)
S (0.0000, 0.0000, 0.0000)


Version Q
# Rb3SrS

A relaxed Rb3SrS crystal (PBE, Alexandria via LeMat-Bulk).

a = 7.7499 Å, b = 7.7499 Å, c = 7.7499 Å
α = 90.00°, β = 90.00°, γ = 90.00°
Positions (direct):
Rb (0.0000, 0.0000, 0.5000)
Rb (0.0000, 0.5000, 0.0000)
Rb (0.5000, 0.0000, 0.0000)
Sr (0.0000, 0.0000, 0.0000)
S (0.5000, 0.5000, 0.5000)


Of them, the most stable is version P and the least stable is version Q.